Entry 1:
The following is a DFT calculation (PBE) of crystalline Cd2HPd6 at its relaxed geometry.

Lattice parameters (Å, degrees): 5.7305 5.7305 5.7305 60.00 60.00 60.00
Fractional coordinates of all 9 atoms:
Cd 0.2500 0.2500 0.2500
Cd 0.7500 0.7500 0.7500
H 0.0000 0.0000 0.0000
Pd 0.2515 0.2515 0.7485
Pd 0.2515 0.7485 0.2515
Pd 0.2515 0.7485 0.7485
Pd 0.7485 0.2515 0.2515
Pd 0.7485 0.2515 0.7485
Pd 0.7485 0.7485 0.2515

Summary:
Calculated density in g cm⁻³: 10.79
DFT total energy in eV per atom: -4.299

Entry 2:
The following is a DFT calculation (PBE) of crystalline CdH2Pd at its relaxed geometry.

Lattice parameters (Å, degrees): 4.8663 7.9484 5.3828 90.00 105.64 90.00
Fractional coordinates of all 16 atoms:
Cd 0.2211 0.0641 0.2349
Cd 0.2211 0.4359 0.7349
Cd 0.7789 0.5641 0.2651
Cd 0.7789 0.9359 0.7651
H 0.1166 0.6685 0.1355
H 0.1166 0.8315 0.6355
H 0.4500 0.1856 0.7297
H 0.4500 0.3144 0.2297
H 0.5500 0.6856 0.7703
H 0.5500 0.8144 0.2703
H 0.8834 0.1685 0.3645
H 0.8834 0.3315 0.8645
Pd 0.3323 0.7171 0.4511
Pd 0.3323 0.7829 0.9511
Pd 0.6677 0.2171 0.0489
Pd 0.6677 0.2829 0.5489

Summary:
Relative energy among the computed polymorphs in meV per atom: 0.0
Calculated density in g cm⁻³: 7.32
DFT total energy in eV per atom: -3.246

Entry 3:
The following is a DFT calculation (PBE) of crystalline CdH2Pd at its relaxed geometry.

Lattice parameters (Å, degrees): 5.5743 5.5743 5.5743 133.28 133.28 68.22
Fractional coordinates of all 8 atoms:
Cd 0.0000 0.0000 0.0000
Cd 0.7500 0.2500 0.5000
H 0.1865 0.6250 0.0615
H 0.3750 0.4365 0.5615
H 0.5635 0.1250 0.9385
H 0.8750 0.8135 0.4385
Pd 0.2500 0.7500 0.5000
Pd 0.5000 0.5000 0.0000

Summary:
Relative energy among the computed polymorphs in meV per atom: 69.3
Calculated density in g cm⁻³: 8.13
DFT total energy in eV per atom: -3.177

Entry 4:
The following is a DFT calculation (PBE) of crystalline CdH2Pd6 at its relaxed geometry.

Lattice parameters (Å, degrees): 4.8928 4.8928 9.1677 98.99 98.99 34.05
Fractional coordinates of all 9 atoms:
Cd 0.0000 0.0000 0.0000
H 0.1267 0.1267 0.6856
H 0.8733 0.8733 0.3144
Pd 0.0644 0.0644 0.3011
Pd 0.2468 0.2468 0.8627
Pd 0.3508 0.3508 0.4313
Pd 0.6492 0.6492 0.5687
Pd 0.7532 0.7532 0.1373
Pd 0.9356 0.9356 0.6989

Summary:
Calculated density in g cm⁻³: 10.31
DFT total energy in eV per atom: -4.416

Entry 5:
The following is a DFT calculation (PBE) of crystalline CdH2Pd at its relaxed geometry.

Lattice parameters (Å, degrees): 3.9338 3.9338 3.9338 60.00 60.00 60.00
Fractional coordinates of all 4 atoms:
Cd 0.0000 0.0000 0.0000
H 0.2500 0.2500 0.2500
H 0.7500 0.7500 0.7500
Pd 0.5000 0.5000 0.5000

Summary:
Relative energy among the computed polymorphs in meV per atom: 509.6
Calculated density in g cm⁻³: 8.52
DFT total energy in eV per atom: -2.737

Entry 6:
The following is a DFT calculation (PBE) of crystalline CdHPd4 at its relaxed geometry.

Lattice parameters (Å, degrees): 4.0423 3.8806 6.3574 90.00 108.16 90.00
Fractional coordinates of all 6 atoms:
Cd 0.0000 0.0000 0.0000
H 0.0000 0.2399 0.5000
Pd 0.1764 0.4983 0.3272
Pd 0.3426 0.9820 0.6781
Pd 0.6574 0.9820 0.3219
Pd 0.8236 0.4983 0.6728

Summary:
Relative energy among the computed polymorphs in meV per atom: 133.5
Calculated density in g cm⁻³: 9.45
DFT total energy in eV per atom: -4.196

Entry 7:
The following is a DFT calculation (PBE) of crystalline Cd2H2Pd at its relaxed geometry.

Lattice parameters (Å, degrees): 6.8901 6.8901 6.8901 153.33 153.33 38.07
Fractional coordinates of all 5 atoms:
Cd 0.1379 0.1379 0.0000
Cd 0.8621 0.8621 0.0000
H 0.2500 0.7500 0.5000
H 0.7500 0.2500 0.5000
Pd 0.5000 0.5000 0.0000

Summary:
Relative energy among the computed polymorphs in meV per atom: 182.7
Calculated density in g cm⁻³: 8.41
DFT total energy in eV per atom: -2.573

Entry 8:
The following is a DFT calculation (PBE) of crystalline Cd2H2Pd at its relaxed geometry.

Lattice parameters (Å, degrees): 4.6184 4.6184 4.6184 116.34 116.34 96.46
Fractional coordinates of all 5 atoms:
Cd 0.2500 0.7500 0.5000
Cd 0.7500 0.2500 0.5000
H 0.2297 0.2297 0.0000
H 0.7703 0.7703 0.0000
Pd 0.5000 0.5000 0.0000

Summary:
Relative energy among the computed polymorphs in meV per atom: 0.0
Calculated density in g cm⁻³: 7.58
DFT total energy in eV per atom: -2.755